Entry 1:
Material: ScP2AuS
Method: DFT, PBE
State: optimized geometry

a = 4.7399 Å, b = 4.7399 Å, c = 4.9100 Å
α = 90.00°, β = 90.00°, γ = 90.00°
Positions (direct):
1 Au 0.0000 0.0000 0.0000
2 Sc 0.5000 0.5000 0.5000
3 P 0.5000 0.0000 0.0000
4 P 0.0000 0.5000 0.0000
5 S 0.0000 0.0000 0.5000

Calculated values
offset from the most stable computed form	0.000	eV per atom
crystal system	tetragonal
DOS(E_F)	3.76	states/eV/cell
DFT total energy	-4.460	eV per atom

=====

Entry 2:
Material: Cs2Tl3Pd
Method: DFT, PBE
State: optimized geometry

a = 10.6428 Å, b = 9.8757 Å, c = 6.3243 Å
α = 110.05°, β = 90.00°, γ = 122.60°
Positions (direct):
1 Tl 0.8913 0.7645 0.8919
2 Tl 0.1268 0.2355 0.6081
3 Tl 0.7688 0.0000 0.7500
4 Tl 0.2312 0.0000 0.2500
5 Tl 0.8732 0.7645 0.3919
6 Tl 0.1087 0.2355 0.1081
7 Cs 0.4780 0.7021 0.0623
8 Cs 0.2241 0.7021 0.5623
9 Cs 0.7759 0.2979 0.4377
10 Cs 0.5220 0.2979 0.9377
11 Pd 0.8537 0.0000 0.2500
12 Pd 0.1463 0.0000 0.7500

Calculated values
offset from the most stable computed form	0.041	eV per atom
crystal system	monoclinic
DOS(E_F)	4.56	states/eV/cell
formation enthalpy at 0 K	-77	meV per atom
DFT total energy	-2.410	eV per atom

=====

Entry 3:
Material: LaNdSbS
Method: DFT, PBE
State: optimized geometry

a = 5.1148 Å, b = 5.1148 Å, c = 11.6163 Å
α = 77.28°, β = 77.28°, γ = 60.00°
Positions (direct):
1 S 0.7043 0.7043 0.8870
2 S 0.2957 0.2957 0.1130
3 La 0.2056 0.2056 0.3831
4 La 0.7944 0.7944 0.6169
5 Sb 0.1013 0.1013 0.6961
6 Sb 0.8987 0.8987 0.3039
7 Nd 0.6227 0.6227 0.1318
8 Nd 0.3773 0.3773 0.8682

Calculated values
crystal system	trigonal
DOS(E_F)	6.74	states/eV/cell
DFT total energy	-5.820	eV per atom

=====

Entry 4:
Material: Nd5Tl2O
Method: DFT, PBE
State: optimized geometry

a = 6.9203 Å, b = 8.9476 Å, c = 14.6391 Å
α = 90.00°, β = 90.00°, γ = 90.00°
Positions (direct):
1 Nd 0.7500 0.9542 0.7925
2 Nd 0.2500 0.5458 0.2925
3 Nd 0.0006 0.3621 0.1084
4 Nd 0.7500 0.2240 0.3821
5 Nd 0.4994 0.3621 0.1084
6 Nd 0.5000 0.5000 0.5000
7 Nd 0.7500 0.7240 0.1179
8 Nd 0.7500 0.4542 0.7075
9 Nd 0.2500 0.7760 0.6179
10 Nd 0.9994 0.1379 0.6084
11 Nd 0.4994 0.8621 0.3916
12 Nd 0.2500 0.2760 0.8821
13 Nd 0.5000 0.0000 0.0000
14 Nd 0.0000 0.0000 0.0000
15 Nd 0.5006 0.6379 0.8916
16 Nd 0.5006 0.1379 0.6084
17 Nd 0.2500 0.0458 0.2075
18 Nd 0.0006 0.8621 0.3916
19 Nd 0.9994 0.6379 0.8916
20 Nd 0.0000 0.5000 0.5000
21 Tl 0.2500 0.9446 0.8044
22 Tl 0.2500 0.4446 0.6956
23 Tl 0.2500 0.1973 0.4103
24 Tl 0.7500 0.0554 0.1956
25 Tl 0.7500 0.5554 0.3044
26 Tl 0.7500 0.3027 0.9103
27 Tl 0.7500 0.8027 0.5897
28 Tl 0.2500 0.6973 0.0897
29 O 0.2500 0.1866 0.0503
30 O 0.7500 0.8134 0.9497
31 O 0.7500 0.3134 0.5503
32 O 0.2500 0.6866 0.4497

Calculated values
crystal system	orthorhombic
DOS(E_F)	30.96	states/eV/cell
DFT total energy	-5.041	eV per atom

=====

Entry 5:
Material: Ac4BiPtS2
Method: DFT, PBE
State: optimized geometry

a = 4.4637 Å, b = 7.8191 Å, c = 7.8927 Å
α = 70.68°, β = 90.00°, γ = 90.00°
Positions (direct):
1 Ac 0.0000 0.7706 0.7330
2 Ac 0.5000 0.7481 0.2691
3 Ac 0.5000 0.2519 0.7309
4 Ac 0.0000 0.2294 0.2670
5 S 0.0000 0.0000 0.0000
6 S 0.5000 0.0000 0.5000
7 Pt 0.0000 0.5000 0.5000
8 Bi 0.5000 0.5000 0.0000

Calculated values
crystal system	monoclinic
DOS(E_F)	5.38	states/eV/cell
DFT total energy	-5.762	eV per atom

=====

Entry 6:
Material: Cs2MnCu2Br6
Method: DFT, PBE
State: optimized geometry

a = 7.7223 Å, b = 7.7908 Å, c = 8.0802 Å
α = 115.90°, β = 90.00°, γ = 119.71°
Positions (direct):
1 Br 0.2768 0.0284 0.7540
2 Br 0.7515 0.0284 0.7540
3 Br 0.7352 0.4704 0.7065
4 Br 0.7232 0.9716 0.2460
5 Br 0.2648 0.5296 0.2935
6 Br 0.2485 0.9716 0.2460
7 Cu 0.0812 0.1624 0.2632
8 Cu 0.9188 0.8376 0.7368
9 Mn 0.5000 0.0000 0.5000
10 Cs 0.2706 0.5412 0.7959
11 Cs 0.7294 0.4588 0.2041

Calculated values
crystal system	monoclinic
DFT total energy	-3.602	eV per atom

=====

Entry 7:
Material: Be2FeB
Method: DFT, PBE
State: optimized geometry

a = 3.2728 Å, b = 3.0671 Å, c = 3.0671 Å
α = 90.00°, β = 90.00°, γ = 90.00°
Positions (direct):
1 B 0.5000 0.0000 0.0000
2 Be 0.0000 0.0000 0.5000
3 Be 0.0000 0.5000 0.0000
4 Fe 0.5000 0.5000 0.5000

Calculated values
crystal system	tetragonal
DOS(E_F)	2.62	states/eV/cell
formation enthalpy at 0 K	-112	meV per atom
DFT total energy	-5.761	eV per atom

=====

Entry 8:
Material: Nd12SmTl3
Method: DFT, PBE
State: optimized geometry

a = 5.0070 Å, b = 5.0070 Å, c = 20.5138 Å
α = 90.00°, β = 90.00°, γ = 90.00°
Positions (direct):
1 Nd 0.0000 0.5000 0.6224
2 Nd 0.5000 0.5000 0.2555
3 Nd 0.5000 0.5000 0.7445
4 Nd 0.0000 0.5000 0.3776
5 Nd 0.5000 0.0000 0.8684
6 Nd 0.5000 0.0000 0.1316
7 Nd 0.5000 0.0000 0.3776
8 Nd 0.5000 0.5000 0.0000
9 Nd 0.0000 0.5000 0.8684
10 Nd 0.5000 0.0000 0.6224
11 Nd 0.0000 0.5000 0.1316
12 Nd 0.5000 0.5000 0.5000
13 Tl 0.0000 0.0000 0.2568
14 Tl 0.0000 0.0000 0.7432
15 Tl 0.0000 0.0000 0.5000
16 Sm 0.0000 0.0000 0.0000

Calculated values
crystal system	tetragonal
DOS(E_F)	23.12	states/eV/cell
formation enthalpy at 0 K	-144	meV per atom
DFT total energy	-4.459	eV per atom

=====

Entry 9:
Material: SiOs2Pt
Method: DFT, PBE
State: optimized geometry

a = 4.6877 Å, b = 4.6877 Å, c = 4.6877 Å
α = 131.45°, β = 131.45°, γ = 71.09°
Positions (direct):
1 Os 0.2500 0.7500 0.5000
2 Os 0.0000 0.0000 0.0000
3 Pt 0.5000 0.5000 0.0000
4 Si 0.7500 0.2500 0.5000

Calculated values
crystal system	tetragonal
DOS(E_F)	2.68	states/eV/cell
DFT total energy	-8.403	eV per atom

=====

Entry 10:
Material: Sr3HfIr
Method: DFT, PBE
State: optimized geometry

a = 5.9008 Å, b = 5.9008 Å, c = 5.9008 Å
α = 90.00°, β = 90.00°, γ = 90.00°
Positions (direct):
1 Sr 0.0000 0.0000 0.5000
2 Sr 0.5000 0.0000 0.0000
3 Sr 0.0000 0.5000 0.0000
4 Ir 0.5000 0.5000 0.5000
5 Hf 0.0000 0.0000 0.0000

Calculated values
offset from the most stable computed form	1.055	eV per atom
crystal system	cubic
DOS(E_F)	6.62	states/eV/cell
formation enthalpy at 0 K	1675	meV per atom
DFT total energy	-3.097	eV per atom

=====

Entry 11:
Material: Tb5SmY5
Method: DFT, PBE
State: optimized geometry

a = 6.1144 Å, b = 6.1144 Å, c = 11.4896 Å
α = 90.00°, β = 90.00°, γ = 120.00°
Positions (direct):
1 Tb 0.0000 0.0000 0.2652
2 Tb 0.3372 0.1686 0.5000
3 Tb 0.8314 0.6628 0.5000
4 Tb 0.8314 0.1686 0.5000
5 Tb 0.0000 0.0000 0.7348
6 Y 0.6667 0.3333 0.1607
7 Y 0.6667 0.3333 0.8393
8 Y 0.3333 0.6667 0.6761
9 Y 0.0000 0.0000 0.0000
10 Y 0.3333 0.6667 0.3239
11 Sm 0.3333 0.6667 0.0000

Calculated values
offset from the most stable computed form	0.000	eV per atom
crystal system	hexagonal
DOS(E_F)	19.87	states/eV/cell
formation enthalpy at 0 K	300	meV per atom
DFT total energy	-5.172	eV per atom

=====

Entry 12:
Material: MgIr2Br
Method: DFT, PBE
State: optimized geometry

a = 4.5680 Å, b = 4.5680 Å, c = 3.1027 Å
α = 90.00°, β = 90.00°, γ = 90.00°
Positions (direct):
1 Br 0.0000 0.5000 0.5000
2 Ir 0.5000 0.5000 0.0000
3 Ir 0.0000 0.0000 0.0000
4 Mg 0.5000 0.0000 0.5000

Calculated values
offset from the most stable computed form	0.500	eV per atom
crystal system	tetragonal
DOS(E_F)	3.29	states/eV/cell
DFT total energy	-4.644	eV per atom